Entry from the Alexandria database: a relaxed Tb13Ho3 crystal (PBE).

Cell and atoms, written as CIF:
```
data_Tb13Ho3
_chemical_formula_sum 'Tb26 Ho6'
_space_group_name_H-M_alt 'A m m 2'
_space_group_IT_number 38
_space_group_name_Hall 'A 2 -2'
_cell_length_a 7.254
_cell_length_b 11.274
_cell_length_c 12.543
_cell_angle_alpha 90.00
_cell_angle_beta 90.00
_cell_angle_gamma 90.00
loop_
_atom_site_label
_atom_site_fract_x
_atom_site_fract_y
_atom_site_fract_z
Tb1 0.000 0.000 0.000
Tb2 0.000 0.000 0.499
Tb3 0.000 0.249 0.166
Tb4 0.250 0.000 0.749
Tb5 0.250 0.249 0.416
Tb6 0.500 0.000 0.000
Tb7 0.500 0.250 0.166
Ho1 0.250 0.000 0.250
Ho2 0.500 0.000 0.499
```

Summary:
The total moment comes out at 0.00 Bohr magnetons per cell. The total energy is -147.5 eV for the cell shown.

Entry from the Alexandria database: a relaxed Ca2NbTl3S6 crystal (PBE).

Cell and atoms, written as CIF:
```
data_Ca2NbTl3S6
_chemical_formula_sum 'Ca4 Nb2 Tl6 S12'
_space_group_name_H-M_alt 'C 1 2/m 1'
_space_group_IT_number 12
_space_group_name_Hall '-C 2y'
_cell_length_a 6.916
_cell_length_b 11.908
_cell_length_c 7.650
_cell_angle_alpha 90.00
_cell_angle_beta 107.10
_cell_angle_gamma 90.00
loop_
_atom_site_label
_atom_site_fract_x
_atom_site_fract_y
_atom_site_fract_z
Ca1 0.000 0.166 0.000
Nb1 0.000 0.500 0.000
Tl1 0.000 0.000 0.500
Tl2 0.000 0.331 0.500
S1 0.214 0.352 0.195
S2 0.229 0.500 0.795
```

Summary:
The energy relative to the elements, uncorrected comes out at -1.10 eV per atom. The total moment comes out at 0.00 Bohr magnetons per cell.

Entry from the Alexandria database: a relaxed LaAgHg crystal (PBE).

Cell and atoms, written as CIF:
```
data_LaAgHg
_chemical_formula_sum 'La2 Ag2 Hg2'
_space_group_name_H-M_alt 'I 4 m m'
_space_group_IT_number 107
_space_group_name_Hall 'I 4 -2'
_cell_length_a 3.985
_cell_length_b 3.985
_cell_length_c 9.893
_cell_angle_alpha 90.00
_cell_angle_beta 90.00
_cell_angle_gamma 90.00
loop_
_atom_site_label
_atom_site_fract_x
_atom_site_fract_y
_atom_site_fract_z
La1 0.000 0.000 0.000
Ag1 0.000 0.000 0.671
Hg1 0.000 0.000 0.325
```

Summary:
The total moment comes out at 0.00 Bohr magnetons per cell. The total energy is -18.2 eV for the cell shown.

Entry from the Alexandria database: a relaxed LiAg4Sn3S8 crystal (PBE).

Cell and atoms, written as CIF:
```
data_LiAg4Sn3S8
_chemical_formula_sum 'Li3 Ag12 Sn9 S24'
_space_group_name_H-M_alt 'R -3 m'
_space_group_IT_number 166
_space_group_name_Hall '-R 3 2"'
_cell_length_a 7.5782
_cell_length_b 7.5782
_cell_length_c 19.0997
_cell_angle_alpha 90.00
_cell_angle_beta 90.00
_cell_angle_gamma 120.00
loop_
_atom_site_label
_atom_site_fract_x
_atom_site_fract_y
_atom_site_fract_z
Li1 0.0000 0.0000 0.0000
Ag1 0.0000 0.0000 0.5000
Ag2 0.0000 0.5000 0.5000
Sn1 0.0000 0.5000 0.0000
S1 0.0000 0.0000 0.2511
S2 0.0000 0.5000 0.2556
```

Summary:
The energy relative to the elements, uncorrected comes out at -0.32 eV per atom. The total moment comes out at 0.00 Bohr magnetons per cell.

Entry from the Alexandria database: a relaxed Be2Cl crystal (PBE).

Cell and atoms, written as CIF:
```
data_Be2Cl
_chemical_formula_sum 'Be4 Cl2'
_space_group_name_H-M_alt 'I 4/m m m'
_space_group_IT_number 139
_space_group_name_Hall '-I 4 2'
_cell_length_a 2.874
_cell_length_b 2.874
_cell_length_c 9.731
_cell_angle_alpha 90.00
_cell_angle_beta 90.00
_cell_angle_gamma 90.00
loop_
_atom_site_label
_atom_site_fract_x
_atom_site_fract_y
_atom_site_fract_z
Be1 0.000 0.000 0.193
Cl1 0.000 0.000 0.500
```

Summary:
The energy relative to the elements, uncorrected comes out at 0.47 eV per atom. The total moment comes out at 0.00 Bohr magnetons per cell.

Entry from the Alexandria database: a relaxed Sr3AlZn8 crystal (PBE).

Cell and atoms, written as CIF:
```
data_Sr3AlZn8
_chemical_formula_sum 'Sr9 Al3 Zn24'
_space_group_name_H-M_alt 'R 3 m'
_space_group_IT_number 160
_space_group_name_Hall 'R 3 -2"'
_cell_length_a 5.7130
_cell_length_b 5.7130
_cell_length_c 27.4009
_cell_angle_alpha 90.00
_cell_angle_beta 90.00
_cell_angle_gamma 120.00
loop_
_atom_site_label
_atom_site_fract_x
_atom_site_fract_y
_atom_site_fract_z
Sr1 0.0000 0.0000 0.0000
Sr2 0.0000 0.0000 0.1277
Sr3 0.0000 0.0000 0.6165
Al1 0.0000 0.0000 0.4909
Zn1 0.0000 0.0000 0.3107
Zn2 0.0000 0.0000 0.8122
Zn3 0.0001 0.5000 0.5601
Zn4 0.0034 0.5017 0.0647
```

Summary:
The total moment comes out at 0.00 Bohr magnetons per cell. The total energy is -60.8 eV for the cell shown.